! Be2MoPt, optimized geometry, DFT GGA-PBE; values from VASP
&SYSTEM
  ibrav = 0, nat = 4, ntyp = 3
/
ATOMIC_SPECIES
Be 9.01 Be.upf
Mo 95.94 Mo.upf
Pt 195.08 Pt.upf
CELL_PARAMETERS angstrom
1.3846 0.7994 7.6520
-1.3846 0.7994 7.6520
0.0000 -1.5988 7.6520
ATOMIC_POSITIONS angstrom
Be 0.0000 0.0000 5.6648
Be 0.0000 0.0000 17.2914
Mo 0.0000 0.0000 0.0000
Pt 0.0000 0.0000 11.4781
! Formation enthalpy at 0 K: -0.04 eV/atom
! Polymorph energy (0 for the lowest one): 311 meV per atom
! Magnetic moment: 0.0 μB/cell